NaPmBi | PBE | relaxed

Unit cell a=5.2451 b=5.2451 c=5.2451 alpha=60.00 beta=60.00 gamma=60.00
Positions (direct):
Bi: 0.0000 0.0000 0.0000
Na: 0.2500 0.2500 0.2500
Pm: 0.7500 0.7500 0.7500

Calculated values
energy relative to the lowest polymorph listed for this composition = 0.000 eV/f.u.
space-group type = F-43m (216)